1.
A relaxed CsTl6Hg3 crystal. Source: Alexandria via LeMat-Bulk, functional GGA-PBE.

total magnetization = 0.00 μB per formula unit
theoretical density = 9.62 g cm⁻³
space group = P2_1/m, No. 11

Geometry as POSCAR:
```
CsTl6Hg3
1.0
11.793 0.000 0.000
0.000 4.173 0.000
-2.997 0.000 13.752
Cs Tl Hg
2 12 6
direct
0.005 0.250 0.266
0.995 0.750 0.734
0.102 0.250 0.976
0.233 0.750 0.152
0.258 0.750 0.429
0.313 0.750 0.703
0.439 0.250 0.087
0.440 0.250 0.575
0.560 0.750 0.425
0.561 0.750 0.913
0.687 0.250 0.297
0.742 0.250 0.571
0.767 0.250 0.848
0.898 0.750 0.024
0.116 0.250 0.551
0.294 0.750 0.923
0.382 0.250 0.303
0.618 0.750 0.697
0.706 0.250 0.077
0.884 0.750 0.449
```


2.
A relaxed CsTl2Hg10 crystal. Source: Alexandria via LeMat-Bulk, functional GGA-PBE.

total magnetization = 0.00 μB per formula unit
theoretical density = 10.35 g cm⁻³
space group = Fmmm, No. 69

Geometry as POSCAR:
```
CsTl2Hg10
1.0
0.000 7.700 8.096
3.277 0.000 8.096
3.277 7.700 0.000
Cs Tl Hg
1 2 10
direct
0.000 0.000 0.000
0.000 0.500 0.000
0.500 0.000 0.500
0.000 0.000 0.500
0.005 0.644 0.356
0.271 0.506 0.494
0.356 0.995 0.005
0.494 0.729 0.271
0.500 0.500 0.000
0.506 0.271 0.729
0.644 0.005 0.995
0.729 0.494 0.506
0.995 0.356 0.644
```


3.
A relaxed CsTl5Hg3 crystal. Source: Alexandria via LeMat-Bulk, functional GGA-PBE.

total magnetization = 0.00 μB per formula unit
theoretical density = 8.94 g cm⁻³
space group = Cmcm, No. 63

Geometry as POSCAR:
```
CsTl5Hg3
1.0
2.514 -8.460 0.000
2.514 8.460 0.000
0.000 0.000 15.336
Cs Tl Hg
2 10 6
direct
0.175 0.825 0.750
0.825 0.175 0.250
0.000 0.000 0.000
0.000 0.000 0.500
0.187 0.813 0.066
0.187 0.813 0.434
0.464 0.536 0.643
0.464 0.536 0.857
0.536 0.464 0.143
0.536 0.464 0.357
0.813 0.187 0.566
0.813 0.187 0.934
0.104 0.896 0.250
0.369 0.631 0.048
0.369 0.631 0.452
0.631 0.369 0.548
0.631 0.369 0.952
0.896 0.104 0.750
```


Number 1: ΔE_f -22.0 meV/atom. Number 2: ΔE_f -74.9 meV/atom. Number 3: ΔE_f -66.0 meV/atom.